Record 1
VASP calculation (PBE) on a relaxed TiTlCoS3 crystal.

Calculated values
Space-group type   P2_1/m (11)
Formation energy without anion corrections   -0.848 eV per atom
Calculated total energy   -5.81 eV per atom
Fermi-level density of states   4.5 states/eV per cell

Cell: 8.4085 3.5137 9.2326 Å, 90.00 114.69 90.00°
With the nearest neighbours (Å) after each atom.
Element x y z (fractional)
Ti (0.1910, 0.2500, 0.1620)  6 S 2.44-2.52
Ti (0.8090, 0.7500, 0.8380)  6 S 2.44-2.52
Tl (0.2642, 0.7500, 0.7552)  7 S 3.10-3.40
Tl (0.7358, 0.2500, 0.2448)  7 S 3.10-3.40
Co (0.4149, 0.7500, 0.3944)  4 S 2.20-2.25
Co (0.5851, 0.2500, 0.6056)  4 S 2.20-2.25
S (0.0288, 0.2500, 0.8622)  3 Ti 2.49-2.52
S (0.2948, 0.2500, 0.4528)  3 Co 2.20-2.25, 1 Ti 2.45
S (0.3809, 0.7500, 0.1401)  1 Co 2.24, 2 Ti 2.44
S (0.6191, 0.2500, 0.8599)  1 Co 2.24, 2 Ti 2.44
S (0.7052, 0.7500, 0.5472)  3 Co 2.20-2.25, 1 Ti 2.45
S (0.9712, 0.7500, 0.1378)  3 Ti 2.49-2.52

=====

Record 2
VASP calculation (PBE) on a relaxed Ba2AlZn4Ga3 crystal.

Calculated values
Space-group type   P-4m2 (115)
Calculated total energy   -2.48 eV per atom
Fermi-level density of states   5.2 states/eV per cell

Cell: 4.5239 4.5239 11.1047 Å, 90.00 90.00 90.00°
With the nearest neighbours (Å) after each atom.
Element x y z (fractional)
Ba (0.0000, 0.5000, 0.2467)  6 Ga 3.47-3.61, 8 Zn 3.48-3.55, 2 Al 3.61
Ba (0.5000, 0.0000, 0.7533)  6 Ga 3.47-3.61, 8 Zn 3.48-3.55, 2 Al 3.61
Al (0.0000, 0.0000, 0.5000)  4 Zn 2.68
Zn (0.0000, 0.0000, 0.0000)  4 Ga 2.66
Zn (0.0000, 0.5000, 0.6302)  3 Ga 2.68-2.71, 2 Al 2.68
Zn (0.5000, 0.0000, 0.3698)  3 Ga 2.68-2.71, 2 Al 2.68
Zn (0.5000, 0.5000, 0.0000)  4 Ga 2.66
Ga (0.0000, 0.5000, 0.8745)  5 Zn 2.66-2.71
Ga (0.5000, 0.0000, 0.1255)  5 Zn 2.66-2.71
Ga (0.5000, 0.5000, 0.5000)  4 Zn 2.68

=====

Record 3
VASP calculation (PBE) on a relaxed PuAlGa2Au crystal.

Calculated values
Space-group type   Imm2 (44)
Calculated total energy   -5.89 eV per atom
Fermi-level density of states   13.2 states/eV per cell

Cell: 6.3272 6.3272 6.3272 Å, 141.13 140.61 56.53°
With the nearest neighbours (Å) after each atom.
Element x y z (fractional)
Pu (0.0000, 0.0000, 0.0000)  6 Ga 3.15-3.32, 2 Al 3.33, 4 Au 3.37
Al (0.2318, 0.7318, 0.5000)  2 Au 2.56, 2 Ga 2.67
Ga (0.5878, 0.5878, 0.0000)  1 Au 2.52, 2 Ga 2.63, 2 Al 2.67
Ga (0.7289, 0.2289, 0.5000)  2 Au 2.60, 2 Ga 2.63
Au (0.3618, 0.3618, 0.0000)  3 Ga 2.52-2.60, 2 Al 2.56

=====

Record 4
VASP calculation (PBE) on a relaxed LaSm5Te6 crystal.

Calculated values
Space-group type   C2/m (12)
Formation energy without anion corrections   -1.420 eV per atom
Calculated total energy   -5.37 eV per atom
Fermi-level density of states   6.7 states/eV per cell

Cell: 7.7415 7.7415 7.7631 Å, 99.57 99.57 120.40°
With the nearest neighbours (Å) after each atom.
Element x y z (fractional)
La (0.0000, 0.0000, 0.0000)  6 Te 3.19-3.21
Sm (0.1630, 0.8370, 0.5000)  6 Te 3.14-3.16
Sm (0.3321, 0.6679, 0.0000)  6 Te 3.15-3.16
Sm (0.5000, 0.5000, 0.5000)  6 Te 3.12-3.16
Sm (0.6679, 0.3321, 0.0000)  6 Te 3.15-3.16
Sm (0.8370, 0.1630, 0.5000)  6 Te 3.14-3.16
Te (0.0852, 0.4240, 0.2546)  5 Sm 3.14-3.16, 1 La 3.21
Te (0.2564, 0.2564, 0.7503)  5 Sm 3.12-3.15, 1 La 3.19
Te (0.4240, 0.0852, 0.2546)  5 Sm 3.14-3.16, 1 La 3.21
Te (0.5760, 0.9148, 0.7454)  5 Sm 3.14-3.16, 1 La 3.21
Te (0.7436, 0.7436, 0.2497)  5 Sm 3.12-3.15, 1 La 3.19
Te (0.9148, 0.5760, 0.7454)  5 Sm 3.14-3.16, 1 La 3.21

=====

Record 5
VASP calculation (PBE) on a relaxed RbPb5 crystal.

Calculated values
Space-group type   Cmmm (65)
Distance to the lowest polymorph of the same formula   0.312 eV/f.u.
Calculated total energy   -3.24 eV per atom
Fermi-level density of states   3.2 states/eV per cell

Cell: 7.0498 7.0498 5.6525 Å, 90.00 90.00 133.47°
With the nearest neighbours (Å) after each atom.
Element x y z (fractional)
Rb (0.0000, 0.0000, 0.0000)  12 Pb 3.65-3.97
Pb (0.1779, 0.8221, 0.5000)  6 Pb 3.35-3.61, 2 Rb 3.65
Pb (0.3179, 0.6821, 0.0000)  6 Pb 3.29-3.68, 2 Rb 3.65
Pb (0.5000, 0.5000, 0.5000)  8 Pb 3.61-3.68, 4 Rb 3.97
Pb (0.6821, 0.3179, 0.0000)  6 Pb 3.29-3.68, 2 Rb 3.65
Pb (0.8221, 0.1779, 0.5000)  6 Pb 3.35-3.61, 2 Rb 3.65

=====

Record 6
VASP calculation (PBE) on a relaxed SrNi2AsH2 crystal.

Calculated values
Space-group type   P2_1/m (11)
Calculated total energy   -4.48 eV per atom
Fermi-level density of states   7.3 states/eV per cell

Cell: 5.8044 5.0038 6.6027 Å, 90.00 107.03 90.00°
With the nearest neighbours (Å) after each atom.
Element x y z (fractional)
Sr (0.1888, 0.2500, 0.3289)  2 H 2.57-2.84
Sr (0.8112, 0.7500, 0.6711)  2 H 2.57-2.84
Ni (0.3458, 0.0010, 0.8065)  2 H 1.66
Ni (0.3458, 0.4990, 0.8065)  2 H 1.66
Ni (0.6542, 0.5010, 0.1935)  2 H 1.66
Ni (0.6542, 0.9990, 0.1935)  2 H 1.66
As (0.2971, 0.7500, 0.0896)  4 Ni 2.34
As (0.7029, 0.2500, 0.9104)  4 Ni 2.34
H (0.1580, 0.2500, 0.7091)  2 Ni 1.66
H (0.2863, 0.7500, 0.6334)  2 Ni 1.66
H (0.7137, 0.2500, 0.3666)  2 Ni 1.66
H (0.8420, 0.7500, 0.2909)  2 Ni 1.66

=====

calculated total energy of number 1 (TiTlCoS3)? -5.81 eV per atom